[1]
Material: Dy2Zn5CuRu2
Method: DFT, PBE-GGA
State: relaxed

Properties
**E_form**: -1.7 eV per formula unit
**SG**: P4/mbm (127)
**Magnetization**: 0.000 μB/atom

abc: 3.4399 10.0083 10.0083
angles: 90.00 90.00 90.00
Last column: nearest neighbours and their distance in Å.
Element x y z (fractional)
Dy (0.0000, 0.6789, 0.1789)  1 Ru 2.68
Dy (0.0000, 0.3211, 0.8211)  1 Ru 2.68
Dy (0.0000, 0.1789, 0.3211)  1 Ru 2.68
Dy (0.0000, 0.8211, 0.6789)  1 Ru 2.68
Zn (0.5000, 0.1874, 0.0526)  2 Cu 2.60, 2 Ru 2.62, 2 Zn 2.76
Zn (0.5000, 0.8126, 0.9474)  2 Cu 2.60, 2 Ru 2.62, 2 Zn 2.76
Zn (0.5000, 0.0526, 0.8126)  2 Cu 2.60, 2 Ru 2.62, 2 Zn 2.76
Zn (0.5000, 0.6874, 0.4474)  2 Cu 2.60, 2 Ru 2.62, 2 Zn 2.76
Zn (0.5000, 0.9474, 0.1874)  2 Cu 2.60, 2 Ru 2.62, 2 Zn 2.76
Zn (0.5000, 0.3126, 0.5526)  2 Cu 2.60, 2 Ru 2.62, 2 Zn 2.76
Zn (0.5000, 0.5526, 0.6874)  2 Cu 2.60, 2 Ru 2.62, 2 Zn 2.76
Zn (0.5000, 0.4474, 0.3126)  2 Cu 2.60, 2 Ru 2.62, 2 Zn 2.76
Zn (0.5000, 0.5000, 0.0000)  4 Ru 2.54
Zn (0.5000, 0.0000, 0.5000)  4 Ru 2.54
Cu (0.0000, 0.0000, 0.0000)  8 Zn 2.60
Cu (0.0000, 0.5000, 0.5000)  8 Zn 2.60
Ru (0.0000, 0.1321, 0.6321)  6 Zn 2.54-2.62, 1 Dy 2.68
Ru (0.0000, 0.8679, 0.3679)  6 Zn 2.54-2.62, 1 Dy 2.68
Ru (0.0000, 0.6321, 0.8679)  6 Zn 2.54-2.62, 1 Dy 2.68
Ru (0.0000, 0.3679, 0.1321)  6 Zn 2.54-2.62, 1 Dy 2.68

[2]
Material: NpTl4Br7
Method: DFT, PBE-GGA
State: relaxed

Properties
**SG**: C2/m (12)
**Calculated total energy**: -3.824 eV per atom
**Magnetization**: 0.333 μB/atom

abc: 5.6394 7.9066 11.8595
angles: 112.99 103.75 90.00
Last column: nearest neighbours and their distance in Å.
Element x y z (fractional)
Np (0.0000, 0.0000, 0.0000)  6 Br 2.82-2.88
Tl (0.4151, 0.4697, 0.8302)  1 Br 3.02
Tl (0.5849, 0.5303, 0.1698)  1 Br 3.02
Tl (0.3038, 0.8582, 0.6075)  3 Br 3.17-3.28
Tl (0.6962, 0.1418, 0.3925)  3 Br 3.17-3.28
Br (0.1148, 0.3323, 0.2295)  1 Np 2.88
Br (0.8852, 0.6677, 0.7705)  1 Np 2.88
Br (0.9221, 0.2059, 0.8443)  1 Np 2.87
Br (0.0779, 0.7941, 0.1557)  1 Np 2.87
Br (0.7244, 0.7806, 0.4488)  4 Tl 3.02-3.28
Br (0.5000, 0.0000, 0.0000)  2 Np 2.82
Br (0.2756, 0.2194, 0.5512)  4 Tl 3.02-3.28

[3]
Material: Nd3Te2Se
Method: DFT, PBE-GGA
State: relaxed

Properties
**SG**: C2/c (15)
**Energy above the lowest structure with this stoichiometry**: 0.000 eV per atom
**Magnetization**: 0.000 μB/atom

abc: 7.5796 7.6568 7.6568
angles: 119.55 99.60 99.60
Last column: nearest neighbours and their distance in Å.
Element x y z (fractional)
Nd (0.0130, 0.2143, 0.3621)  2 Se 2.98, 4 Te 3.17-3.29
Nd (0.5130, 0.3621, 0.2143)  2 Se 2.98, 4 Te 3.17-3.29
Nd (0.0000, 0.5000, 0.0000)  2 Se 3.03, 4 Te 3.12-3.17
Nd (0.9870, 0.7857, 0.6379)  2 Se 2.98, 4 Te 3.17-3.29
Nd (0.5000, 0.0000, 0.5000)  2 Se 3.03, 4 Te 3.12-3.17
Nd (0.4870, 0.6379, 0.7857)  2 Se 2.98, 4 Te 3.17-3.29
Te (0.2500, 0.9215, 0.0785)  6 Nd 3.17-3.29
Te (0.2500, 0.2368, 0.7632)  6 Nd 3.12-3.26
Te (0.7500, 0.0785, 0.9215)  6 Nd 3.17-3.29
Te (0.7500, 0.7632, 0.2368)  6 Nd 3.12-3.26
Se (0.2500, 0.5937, 0.4063)  6 Nd 2.98-3.03
Se (0.7500, 0.4063, 0.5937)  6 Nd 2.98-3.03

[4]
Material: HfVIr
Method: DFT, PBE-GGA
State: relaxed

Properties
**E_form**: -1.3 eV per formula unit
**SG**: I4mm (107)
**Energy above the lowest structure with this stoichiometry**: 0.273 eV per atom
**Magnetization**: 0.000 μB/atom

abc: 3.1900 3.1900 5.3193
angles: 107.45 107.45 90.00
Last column: nearest neighbours and their distance in Å.
Element x y z (fractional)
Ir (0.9423, 0.9423, 0.8845)  4 V 2.68, 4 Hf 2.81
Hf (0.6160, 0.6160, 0.2319)  5 Ir 2.81-3.14, 5 V 2.82-3.12
V (0.2918, 0.2918, 0.5836)  4 Ir 2.68, 4 Hf 2.82

[5]
Material: LaCoP2
Method: DFT, PBE-GGA
State: relaxed

Properties
**E_form**: -1.0 eV per formula unit
**SG**: Fm-3m (225)
**Energy above the lowest structure with this stoichiometry**: 0.665 eV per atom
**Magnetization**: 0.518 μB/atom

abc: 4.7064 4.7064 4.7064
angles: 60.00 60.00 60.00
Last column: nearest neighbours and their distance in Å.
Element x y z (fractional)
P (0.2500, 0.2500, 0.2500)  4 La 2.88, 4 Co 2.88
P (0.7500, 0.7500, 0.7500)  4 La 2.88, 4 Co 2.88
Co (0.0000, 0.0000, 0.0000)  8 P 2.88
La (0.5000, 0.5000, 0.5000)  8 P 2.88

[6]
Material: Rb2Si2Au3
Method: DFT, PBE-GGA
State: relaxed

Properties
**SG**: P2_1/c (14)
**Calculated total energy**: -3.524 eV per atom
**Magnetization**: 0.000 μB/atom

abc: 6.7614 7.1859 8.3921
angles: 90.00 73.14 90.00
Last column: nearest neighbours and their distance in Å.
Element x y z (fractional)
Rb (0.1888, 0.0869, 0.5921)  6 Au 3.35-3.69, 1 Rb 3.57, 1 Si 3.73
Rb (0.8112, 0.5869, 0.9079)  6 Au 3.35-3.69, 1 Rb 3.57, 1 Si 3.73
Rb (0.8112, 0.9131, 0.4079)  6 Au 3.35-3.69, 1 Rb 3.57, 1 Si 3.73
Rb (0.1888, 0.4131, 0.0921)  6 Au 3.35-3.69, 1 Rb 3.57, 1 Si 3.73
Si (0.3639, 0.9124, 0.9480)  4 Au 2.45-2.58, 1 Si 2.58
Si (0.6361, 0.4124, 0.5520)  4 Au 2.45-2.58, 1 Si 2.58
Si (0.6361, 0.0876, 0.0520)  4 Au 2.45-2.58, 1 Si 2.58
Si (0.3639, 0.5876, 0.4480)  4 Au 2.45-2.58, 1 Si 2.58
Au (0.4334, 0.6904, 0.7159)  3 Si 2.46-2.58
Au (0.5666, 0.1904, 0.7841)  3 Si 2.46-2.58
Au (0.5666, 0.3096, 0.2841)  3 Si 2.46-2.58
Au (0.4334, 0.8096, 0.2159)  3 Si 2.46-2.58
Au (0.0000, 0.0000, 0.0000)  2 Si 2.45
Au (0.0000, 0.5000, 0.5000)  2 Si 2.45

[7]
Material: CrSbIr2
Method: DFT, PBE-GGA
State: relaxed

Properties
**SG**: Pmm2 (25)
**Calculated total energy**: -7.698 eV per atom
**Magnetization**: 0.656 μB/atom

abc: 2.9939 3.9295 5.5192
angles: 90.00 90.00 90.00
Last column: nearest neighbours and their distance in Å.
Element x y z (fractional)
Cr (0.5000, 0.5000, 0.7942)  6 Ir 2.62-2.90
Ir (0.0000, 0.0000, 0.9604)  4 Cr 2.63, 2 Sb 2.67-2.85
Ir (0.5000, 0.5000, 0.2685)  2 Cr 2.62-2.90, 4 Sb 2.72
Sb (0.0000, 0.0000, 0.4769)  6 Ir 2.67-2.85

[8]
Material: Sc2RhBr
Method: DFT, PBE-GGA
State: relaxed

Properties
**SG**: P2/m (10)
**Energy above the lowest structure with this stoichiometry**: 0.013 eV per atom
**Magnetization**: 0.000 μB/atom

abc: 3.2024 3.3632 7.8515
angles: 89.93 90.00 90.00
Last column: nearest neighbours and their distance in Å.
Element x y z (fractional)
Br (0.5000, 0.2500, 0.2500)  4 Sc 2.84
Rh (0.5000, 0.7500, 0.7500)  8 Sc 2.81
Sc (0.0000, 0.2492, 0.9518)  4 Rh 2.81, 2 Br 2.84
Sc (0.0000, 0.2508, 0.5482)  4 Rh 2.81, 2 Br 2.84